Here is a geometry-optimized Al2CuP structure from Alexandria. Energies are from PBE.

```
4
Lattice="-1.823 2.150 3.731 1.823 -2.150 3.731 1.823 2.150 -3.731" Properties=species:S:1:pos:R:3 pbc="T T T"
Al 0.000 0.000 1.841
Al 0.000 0.000 5.621
Cu 0.000 2.150 0.000
P 1.823 0.000 0.000
```

* DFT formation energy: 78.5 meV/atom